The following is a PBE-GGA calculation of an optimized crystal structure of RuSe3I, from the Alexandria database.

For the total magnetic moment, the calculation gives 0.0000 μB/atom. Its crystal system is cubic. The density comes out at 6.4 g cm⁻³. The value obtained for the formation energy without anion corrections is 38.12 kJ/mol of atoms. As for the space group: No. 221.

The structure in extended XYZ format:
```
5
Lattice="4.9317 0.0000 0.0000 0.0000 4.9317 0.0000 0.0000 0.0000 4.9317" Properties=species:S:1:pos:R:3 pbc="T T T"
Se 0.0000 2.4658 0.0000
I 2.4658 2.4658 2.4658
Se 0.0000 0.0000 2.4658
Ru 0.0000 0.0000 0.0000
Se 2.4658 0.0000 0.0000
```